# 1
! Th3SiC2 PBE optimized geometry; values from VASP
! Crystal system = orthorhombic
! SG = Pmmn (59)
&SYSTEM
  ibrav = 0, nat = 12, ntyp = 3
/
ATOMIC_SPECIES
Th 232.04 Th.upf
Si 28.09 Si.upf
C 12.01 C.upf
CELL_PARAMETERS angstrom
5.705 0.000 0.000
0.000 12.009 0.000
0.000 0.000 3.846
ATOMIC_POSITIONS angstrom
Th 1.426 0.733 0.960
Th 1.426 5.272 0.960
Th 1.426 9.007 1.134
Th 4.279 3.002 2.712
Th 4.279 6.737 2.887
Th 4.279 11.276 2.887
Si 1.426 3.002 2.909
Si 4.279 9.007 0.937
C 1.426 6.986 2.847
C 1.426 11.027 2.847
C 4.279 0.982 0.999
C 4.279 5.023 0.999

---

# 2
! Th2SiC PBE optimized geometry; values from VASP
! Crystal system = trigonal
! Offset from the most stable computed form = 82 meV/atom
! SG = R-3m (166)
&SYSTEM
  ibrav = 0, nat = 12, ntyp = 3
/
ATOMIC_SPECIES
Th 232.04 Th.upf
Si 28.09 Si.upf
C 12.01 C.upf
CELL_PARAMETERS angstrom
3.917 0.000 0.000
-1.959 3.393 0.000
0.000 0.000 20.733
ATOMIC_POSITIONS angstrom
Th 0.000 0.000 4.937
Th 0.000 0.000 15.796
Th 0.000 2.262 8.885
Th 0.000 2.262 18.759
Th 1.959 1.131 1.974
Th 1.959 1.131 11.848
Si 0.000 0.000 0.000
Si 0.000 2.262 13.822
Si 1.959 1.131 6.911
C 0.000 0.000 10.367
C 0.000 2.262 3.456
C 1.959 1.131 17.278

---

no.,energy (eV/atom),DOS at the Fermi energy (states/eV/f.u.),E_form (uncorrected) (eV per atom)
1,-7.954,2.5,-0.27
2,-7.739,2.3,-0.37